# KSn | Alexandria | meta-GGA SCAN | PBEsol geometry
# ρ = 3.62 g/cm³
data_KSn
_chemical_formula_sum 'K32 Sn32'
_space_group_name_H-M_alt 'I 41/a c d'
_space_group_IT_number 142
_cell_length_a 11.2032
_cell_length_b 11.2032
_cell_length_c 18.4308
_cell_angle_alpha 90.00
_cell_angle_beta 90.00
_cell_angle_gamma 90.00
loop_
_space_group_symop_operation_xyz
'x,y,z'
'-x,-y,-z'
'-y+1/4,x+3/4,z+1/4'
'y+1/4,-x+3/4,-z+1/4'
'-x+1/2,-y,z+1/2'
'x+1/2,y,-z+1/2'
'y+1/4,-x+1/4,z+3/4'
'-y+1/4,x+1/4,-z+3/4'
'x,-y,-z+1/2'
'-x,y,z+1/2'
'-y+1/4,-x+1/4,-z+1/4'
'y+1/4,x+1/4,z+1/4'
'-x+1/2,y,-z'
'x+1/2,-y,z'
'y+1/4,x+3/4,-z+3/4'
'-y+1/4,-x+3/4,z+3/4'
'x+1/2,y+1/2,z+1/2'
'-x+1/2,-y+1/2,-z+1/2'
'-y+3/4,x+1/4,z+3/4'
'y+3/4,-x+1/4,-z+3/4'
'-x,-y+1/2,z'
'x,y+1/2,-z'
'y+3/4,-x+3/4,z+1/4'
'-y+3/4,x+3/4,-z+1/4'
'x+1/2,-y+1/2,-z'
'-x+1/2,y+1/2,z'
'-y+3/4,-x+3/4,-z+3/4'
'y+3/4,x+3/4,z+3/4'
'-x,y+1/2,-z+1/2'
'x,-y+1/2,z+1/2'
'y+3/4,x+1/4,-z+1/4'
'-y+3/4,-x+1/4,z+1/4'
loop_
_atom_site_label
_atom_site_type_symbol
_atom_site_fract_x
_atom_site_fract_y
_atom_site_fract_z
K1 K 0.1221 0.1279 0.1250
K2 K 0.1362 0.0000 0.7500
Sn1 Sn 0.0646 0.1350 0.9321


# InCoRe | Alexandria | meta-GGA SCAN | PBEsol geometry
# ρ = 13.41 g/cm³
data_InCoRe
_chemical_formula_sum 'In1 Co1 Re1'
_space_group_name_H-M_alt 'P 3 m 1'
_space_group_IT_number 156
_cell_length_a 2.8081
_cell_length_b 2.8081
_cell_length_c 6.5252
_cell_angle_alpha 90.00
_cell_angle_beta 90.00
_cell_angle_gamma 120.00
loop_
_space_group_symop_operation_xyz
'x,y,z'
'-y,x-y,z'
'-x+y,-x,z'
'-y,-x,z'
'-x+y,y,z'
'x,x-y,z'
loop_
_atom_site_label
_atom_site_type_symbol
_atom_site_fract_x
_atom_site_fract_y
_atom_site_fract_z
In1 In 0.0000 0.0000 0.0000
Co1 Co 0.6667 0.3333 0.3348
Re1 Re 0.3333 0.6667 0.6242


# WS2Br | Alexandria | meta-GGA SCAN | PBEsol geometry
# formation energy without anion corrections = 0.979 eV per atom
# ρ = 8.85 g/cm³
data_WS2Br
_chemical_formula_sum 'W4 S8 Br4'
_space_group_name_H-M_alt 'F m -3 m'
_space_group_IT_number 225
_space_group_name_Hall '-F 4 2 3'
_cell_length_a 6.2667
_cell_length_b 6.2667
_cell_length_c 6.2667
_cell_angle_alpha 90.00
_cell_angle_beta 90.00
_cell_angle_gamma 90.00
loop_
_atom_site_label
_atom_site_type_symbol
_atom_site_fract_x
_atom_site_fract_y
_atom_site_fract_z
W1 W 0.0000 0.0000 0.0000
S1 S 0.2500 0.2500 0.2500
Br1 Br 0.0000 0.0000 0.5000


Per-record E_tot, eV/atom: -22.49, -40.13, -26.12